! FeSe3Br (PBE, optimized geometry); values from VASP
! **Uncorrected formation energy**: 0.4233 eV per atom
! **E above lowest polymorph**: 0 meV/atom
&SYSTEM
  ibrav = 0, nat = 5, ntyp = 3
/
ATOMIC_SPECIES
Fe 55.84 Fe.upf
Br 79.90 Br.upf
Se 78.96 Se.upf
CELL_PARAMETERS angstrom
-1.9919 4.1399 -1.1016
-2.1415 -2.0144 -3.6981
-3.7103 -1.0598 2.7259
ATOMIC_POSITIONS angstrom
Fe 0.0000 0.0000 0.0000
Br -3.9218 0.5328 -1.0369
Se -0.9959 2.0700 -0.5508
Se -1.0707 -1.0072 -1.8491
Se -1.8552 -0.5299 1.3629

! Pm3Sm4Dy8 (PBE, optimized geometry); values from VASP
! **Energy of formation from the pure elements**: 0.3683 eV per atom
&SYSTEM
  ibrav = 0, nat = 15, ntyp = 3
/
ATOMIC_SPECIES
Dy 162.50 Dy.upf
Sm 150.36 Sm.upf
Pm 145.00 Pm.upf
CELL_PARAMETERS angstrom
-0.8716 5.8558 3.3301
-8.0023 -3.0726 -3.6209
-0.3378 -7.2808 5.7850
ATOMIC_POSITIONS angstrom
Dy -2.2314 -2.7247 0.5993
Dy -2.7330 -3.2771 5.0455
Dy -5.2486 -4.5845 -0.2415
Dy -6.4788 -1.2205 0.4487
Dy -6.5189 -4.8286 3.1517
Dy -3.0916 -5.7688 2.4056
Dy -2.6929 0.3311 2.3425
Dy -6.9804 -1.7728 4.8949
Sm -0.4358 2.9279 1.6651
Sm 0.0000 0.0000 0.0000
Sm -0.1689 -3.6404 2.8925
Sm -4.0012 -1.5363 -1.8105
Pm -0.6047 -0.7125 4.5576
Pm -4.6059 -2.2488 2.7471
Pm -4.4370 1.3916 -0.1454

no.,VASP energy (eV per atom)
1,-3.69
2,-4.29